No. 1
A relaxed structure of RbSb2Cl2. Source: the Alexandria database, functional PBE-GGA.

Summary:
- Final energy: -14.03 eV per formula unit
- Formation energy (no corrections): -0.225 eV per atom
- Magnetization: 0.0000 μB/atom
- Density of states at the Fermi level: 0.54 states/eV per atom

Lattice parameters (Å, degrees): 9.9767 9.9767 3.2548 90.00 90.00 90.00
Closest atoms and distances in Å follow each position.
Space group P4/mbm (No. 127)
Unique sites:
Rb 0.0000 0.0000 0.0000 x2  2 Rb 3.25
Sb 0.2195 0.2805 0.5000 x4  2 Cl 2.73
Cl 0.1252 0.6252 0.0000 x4  2 Sb 2.73

No. 2
A relaxed structure of Rb6Sb2Cl. Source: the Alexandria database, functional PBE-GGA.

Summary:
- Final energy: -21.82 eV per formula unit
- Formation energy (no corrections): -0.658 eV per atom
- Magnetization: 0.1280 μB/atom
- Density of states at the Fermi level: 1.12 states/eV per atom

Lattice parameters (Å, degrees): 15.2808 8.8350 6.2411 90.00 90.02 90.00
Closest atoms and distances in Å follow each position.
Space group C2/m (No. 12)
Unique sites:
Rb 0.0933 0.2181 0.2575 x8  1 Cl 3.24
Rb 0.1879 0.5000 0.7421 x4  1 Cl 3.24
Sb 0.1663 0.0000 0.7553 x4  6 Rb 3.82-3.85
Cl 0.0000 0.5000 0.5000 x2  6 Rb 3.24

No. 3
A relaxed structure of Rb5Sb2Cl12. Source: the Alexandria database, functional PBE-GGA.

Summary:
- Final energy: -61.03 eV per formula unit
- Formation energy (no corrections): -1.357 eV per atom
- Magnetization: 0.0062 μB/atom
- Density of states at the Fermi level: 0.79 states/eV per atom

Lattice parameters (Å, degrees): 16.7390 11.2168 9.8276 90.00 113.98 90.00
Closest atoms and distances in Å follow each position.
Space group C2/m (No. 12)
Unique sites:
Rb 0.0000 0.0000 0.0000 x2  4 Cl 3.35
Rb 0.0368 0.5000 0.8222 x4  4 Cl 3.12-3.28
Rb 0.2502 0.0000 0.4910 x4  2 Cl 3.10-3.30
Sb 0.0000 0.1775 0.5000 x4  6 Cl 2.52-2.78
Cl 0.0629 0.1826 0.2949 x8  1 Sb 2.63
Cl 0.1156 0.0000 0.6607 x4  2 Sb 2.78
Cl 0.1165 0.3291 0.6366 x8  1 Sb 2.52
Cl 0.1468 0.5000 0.1657 x4  3 Rb 3.10-3.12

No. 4
A relaxed structure of Rb2SbCl5. Source: the Alexandria database, functional PBE-GGA.

Summary:
- Final energy: -26.82 eV per formula unit
- Formation energy (no corrections): -1.441 eV per atom
- Magnetization: 0.0000 μB/atom
- Density of states at the Fermi level: 0.00 states/eV per atom

Lattice parameters (Å, degrees): 6.2106 7.8559 8.5884 67.81 68.97 66.77
Closest atoms and distances in Å follow each position.
Space group P1 (No. 1)
Unique sites:
Rb 0.0000 0.0000 0.0000 x1  6 Cl 3.29-3.63
Rb 0.4108 0.6719 0.5104 x1  6 Cl 3.29-3.64
Sb 0.2031 0.3359 0.2552 x1  5 Cl 2.45-2.66
Cl 0.1567 0.1069 0.5742 x1  1 Sb 2.64
Cl 0.2423 0.5651 0.9361 x1  1 Sb 2.64
Cl 0.4180 0.0289 0.1318 x1  1 Sb 2.66
Cl 0.8087 0.3352 0.2558 x1  1 Sb 2.45
Cl 0.9887 0.6430 0.3783 x1  1 Sb 2.66